DFT (GGA+U) results for Ba3MgTiWO9 after structural relaxation.

The calculation puts the mass density at 6.26 Mg/m³. The calculation puts the total energy at -109.05 eV/f.u. The calculation puts the size of the total moment at 0.00 μB/cell.

It has space group P6_3mc (No. 186), with a = 5.8765 Å, b = 5.8765 Å, c = 14.3947 Å, α = 90.00°, β = 90.00° and γ = 120.00°. Symmetry generates all atoms from Ba at (0.0000, 0.0000, 0.0000), Ba at (0.3333, 0.6667, 0.1470), Ba at (0.3333, 0.6667, 0.8376), Mg at (0.0000, 0.0000, 0.2434), Ti at (0.3333, 0.6667, 0.6028), W at (0.3333, 0.6667, 0.4014), O at (0.0337, 0.5169, 0.4907), O at (0.1713, 0.3427, 0.6606) and O at (0.1731, 0.3462, 0.3301).